Record 1
SrCdAuCl2 | PBE | optimized geometry

Results
- DFT total energy: -2.403 eV per atom

Cell: 4.9724 4.9724 7.8649 Å, 90.00 90.00 90.00°
Last column: nearest neighbours and their distance in Å.
Positions (direct):
1 Sr 0.0000 0.0000 0.0000  4 Au 3.52, 2 Cd 3.93
2 Cd 0.0000 0.0000 0.5000  4 Cl 2.49
3 Au 0.5000 0.5000 0.0000  4 Sr 3.52
4 Cl 0.0000 0.5000 0.5000  2 Cd 2.49
5 Cl 0.5000 0.0000 0.5000  2 Cd 2.49

***

Record 2
Pm6Nd8Sm | PBE | optimized geometry

Results
- DFT total energy: -4.644 eV per atom
- Energy relative to the elements: 0.113 eV/atom

Cell: 8.8556 8.8556 8.8556 Å, 63.36 63.36 63.36°
Last column: nearest neighbours and their distance in Å.
Positions (direct):
1 Pm 0.0385 0.7412 0.5986  3 Nd 3.44-3.48, 1 Sm 3.56, 4 Pm 3.62-3.86
2 Pm 0.2588 0.4014 0.9615  3 Nd 3.44-3.48, 1 Sm 3.56, 4 Pm 3.62-3.86
3 Pm 0.4014 0.9615 0.2588  3 Nd 3.44-3.48, 1 Sm 3.56, 4 Pm 3.62-3.86
4 Pm 0.5986 0.0385 0.7412  3 Nd 3.44-3.48, 1 Sm 3.56, 4 Pm 3.62-3.86
5 Pm 0.7412 0.5986 0.0385  3 Nd 3.44-3.48, 1 Sm 3.56, 4 Pm 3.62-3.86
6 Pm 0.9615 0.2588 0.4014  3 Nd 3.44-3.48, 1 Sm 3.56, 4 Pm 3.62-3.86
7 Nd 0.0776 0.0776 0.0776  4 Nd 3.28-3.50, 3 Pm 3.44
8 Nd 0.2167 0.2496 0.6130  3 Pm 3.48-3.87, 5 Nd 3.50-3.54, 1 Sm 3.60
9 Nd 0.2496 0.6130 0.2167  3 Pm 3.48-3.87, 5 Nd 3.50-3.54, 1 Sm 3.60
10 Nd 0.3870 0.7833 0.7504  3 Pm 3.48-3.87, 5 Nd 3.50-3.54, 1 Sm 3.60
11 Nd 0.6130 0.2167 0.2496  3 Pm 3.48-3.87, 5 Nd 3.50-3.54, 1 Sm 3.60
12 Nd 0.7504 0.3870 0.7833  3 Pm 3.48-3.87, 5 Nd 3.50-3.54, 1 Sm 3.60
13 Nd 0.7833 0.7504 0.3870  3 Pm 3.48-3.87, 5 Nd 3.50-3.54, 1 Sm 3.60
14 Nd 0.9224 0.9224 0.9224  4 Nd 3.28-3.50, 3 Pm 3.44
15 Sm 0.5000 0.5000 0.5000  6 Pm 3.56, 6 Nd 3.60

***

Record 3
ScCdB | PBE | optimized geometry

Results
- DFT total energy: -5.129 eV per atom
- Energy relative to the elements: -0.488 eV/atom
- ΔE to the lowest computed polymorph: 2.5 meV/atom

Cell: 5.5077 3.1807 11.3114 Å, 90.00 99.37 90.00°
Last column: nearest neighbours and their distance in Å.
Positions (direct):
1 Sc 0.0000 0.0000 0.0000  6 B 2.50
2 Sc 0.1020 0.0000 0.3051  6 B 2.50
3 Sc 0.5000 0.5000 0.0000  6 B 2.50
4 Sc 0.6020 0.5000 0.3051  6 B 2.50
5 Cd 0.0889 0.5000 0.7693  3 Sc 3.16, 9 Cd 3.18
6 Cd 0.3455 0.5000 0.5370  3 Sc 3.17-3.18, 9 Cd 3.18
7 Cd 0.5889 0.0000 0.7693  3 Sc 3.16, 9 Cd 3.18
8 Cd 0.8455 0.0000 0.5370  3 Sc 3.17-3.18, 9 Cd 3.18
9 B 0.2177 0.5000 0.1526  3 B 1.84
10 B 0.3844 0.0000 0.1525  3 B 1.84
11 B 0.7177 0.0000 0.1526  3 B 1.84
12 B 0.8844 0.5000 0.1525  3 B 1.84

***

Record 4
KRu2Br | PBE | optimized geometry

Results
- DFT total energy: -4.068 eV per atom
- ΔE to the lowest computed polymorph: 948.2 meV/atom

Cell: 3.0013 5.2942 9.8828 Å, 90.00 90.00 90.00°
Last column: nearest neighbours and their distance in Å.
Positions (direct):
1 K 0.0000 0.0000 0.0000  6 K 3.00-3.04, 4 Ru 3.24
2 K 0.5000 0.5000 0.0000  6 K 3.00-3.04, 4 Ru 3.24
3 Ru 0.0000 0.5000 0.2904  2 Br 2.56
4 Ru 0.0000 0.5000 0.7096  2 Br 2.56
5 Ru 0.5000 0.0000 0.2904  2 Br 2.56
6 Ru 0.5000 0.0000 0.7096  2 Br 2.56
7 Br 0.0000 0.0000 0.5000  4 Ru 2.56
8 Br 0.5000 0.5000 0.5000  4 Ru 2.56

***

Record 5
CoReTc | PBE | optimized geometry

Results
- DFT total energy: -9.443 eV per atom
- Energy relative to the elements: 0.531 eV/atom
- ΔE to the lowest computed polymorph: 546.5 meV/atom

Cell: 2.5816 18.1720 3.9075 Å, 90.00 90.00 90.00°
Last column: nearest neighbours and their distance in Å.
Positions (direct):
1 Co 0.0000 0.1529 0.2500  2 Tc 2.45, 5 Re 2.53-2.58, 2 Co 2.58
2 Co 0.0000 0.8471 0.7500  2 Tc 2.45, 5 Re 2.53-2.58, 2 Co 2.58
3 Co 0.5000 0.3471 0.7500  2 Tc 2.45, 5 Re 2.53-2.58, 2 Co 2.58
4 Co 0.5000 0.6529 0.2500  2 Tc 2.45, 5 Re 2.53-2.58, 2 Co 2.58
5 Re 0.0000 0.2948 0.2500  5 Co 2.53-2.58, 2 Re 2.58
6 Re 0.0000 0.7052 0.7500  5 Co 2.53-2.58, 2 Re 2.58
7 Re 0.5000 0.2052 0.7500  5 Co 2.53-2.58, 2 Re 2.58
8 Re 0.5000 0.7948 0.2500  5 Co 2.53-2.58, 2 Re 2.58
9 Tc 0.0000 0.4615 0.7500  4 Tc 2.40-2.58, 2 Co 2.45
10 Tc 0.0000 0.5385 0.2500  4 Tc 2.40-2.58, 2 Co 2.45
11 Tc 0.5000 0.0385 0.2500  4 Tc 2.40-2.58, 2 Co 2.45
12 Tc 0.5000 0.9615 0.7500  4 Tc 2.40-2.58, 2 Co 2.45

***

Record 6
CeCdCu10 | PBE | optimized geometry

Results
- DFT total energy: -4.012 eV per atom
- Energy relative to the elements: -0.028 eV/atom

Cell: 4.1118 5.0062 8.6543 Å, 90.00 90.00 90.00°
Last column: nearest neighbours and their distance in Å.
Positions (direct):
1 Ce 0.0000 0.0000 0.0000  18 Cu 2.96-3.24
2 Cd 0.0000 0.5000 0.5000  6 Cu 2.75-2.84
3 Cu 0.0000 0.0000 0.3438  7 Cu 2.46-2.70
4 Cu 0.0000 0.0000 0.6562  7 Cu 2.46-2.70
5 Cu 0.0000 0.5000 0.1819  6 Cu 2.48-2.59, 1 Cd 2.75
6 Cu 0.0000 0.5000 0.8181  6 Cu 2.48-2.59, 1 Cd 2.75
7 Cu 0.5000 0.0000 0.5000  8 Cu 2.46-2.49
8 Cu 0.5000 0.2479 0.2505  8 Cu 2.48-2.53
9 Cu 0.5000 0.2479 0.7495  8 Cu 2.48-2.53
10 Cu 0.5000 0.5000 0.0000  8 Cu 2.51-2.59
11 Cu 0.5000 0.7521 0.2505  8 Cu 2.48-2.53
12 Cu 0.5000 0.7521 0.7495  8 Cu 2.48-2.53

***

Record 7
MnAlRe | PBE | optimized geometry

Results
- DFT total energy: -8.706 eV per atom
- Energy relative to the elements: -0.252 eV/atom
- ΔE to the lowest computed polymorph: 0.0 meV/atom

Cell: 2.8936 2.8936 9.3581 Å, 90.00 90.00 90.00°
Last column: nearest neighbours and their distance in Å.
Positions (direct):
1 Mn 0.0000 0.0000 0.0000  4 Re 2.51, 4 Al 2.53
2 Mn 0.5000 0.5000 0.5000  4 Re 2.51, 4 Al 2.53
3 Al 0.0000 0.0000 0.3404  4 Mn 2.53, 4 Re 2.68
4 Al 0.5000 0.5000 0.8404  4 Mn 2.53, 4 Re 2.68
5 Re 0.0000 0.0000 0.6560  4 Mn 2.51, 4 Al 2.68
6 Re 0.5000 0.5000 0.1560  4 Mn 2.51, 4 Al 2.68

***

Record 8
TlCr3Ga | PBE | optimized geometry

Results
- DFT total energy: -5.299 eV per atom
- Energy relative to the elements: 1.554 eV/atom
- ΔE to the lowest computed polymorph: 499.2 meV/atom

Cell: 5.2343 5.2343 5.2343 Å, 90.00 90.00 90.00°
Last column: nearest neighbours and their distance in Å.
Positions (direct):
1 Tl 0.0000 0.0000 0.0000  6 Cr 2.62
2 Cr 0.0000 0.0000 0.5000  2 Tl 2.62
3 Cr 0.0000 0.5000 0.0000  2 Tl 2.62
4 Cr 0.5000 0.0000 0.0000  2 Tl 2.62
5 Ga 0.5000 0.5000 0.5000  12 Cr 3.70

***

Record 9
BaNi2Cl | PBE | optimized geometry

Results
- DFT total energy: -3.785 eV per atom
- ΔE to the lowest computed polymorph: 332.2 meV/atom

Cell: 4.0853 4.0853 5.9058 Å, 90.00 90.00 90.00°
Last column: nearest neighbours and their distance in Å.
Positions (direct):
1 Ba 0.0000 0.0000 0.0000  4 Cl 2.89
2 Ni 0.0000 0.5000 0.5000  4 Ni 2.89
3 Ni 0.5000 0.0000 0.5000  4 Ni 2.89
4 Cl 0.5000 0.5000 0.0000  4 Ba 2.89

***

Record 10
Nb3Ga2 | PBE | optimized geometry

Results
- DFT total energy: -7.634 eV per atom
- Energy relative to the elements: -0.382 eV/atom
- ΔE to the lowest computed polymorph: 0.0 meV/atom

Cell: 6.9555 6.9555 3.5217 Å, 90.00 90.00 90.00°
Last column: nearest neighbours and their distance in Å.
Positions (direct):
1 Nb 0.0000 0.0000 0.0000  4 Ga 2.74
2 Nb 0.1754 0.3246 0.5000  6 Ga 2.63-2.76
3 Nb 0.3246 0.8246 0.5000  6 Ga 2.63-2.76
4 Nb 0.5000 0.5000 0.0000  4 Ga 2.74
5 Nb 0.6754 0.1754 0.5000  6 Ga 2.63-2.76
6 Nb 0.8246 0.6754 0.5000  6 Ga 2.63-2.76
7 Ga 0.1261 0.6261 0.0000  1 Ga 2.48, 8 Nb 2.63-2.76
8 Ga 0.3739 0.1261 0.0000  1 Ga 2.48, 8 Nb 2.63-2.76
9 Ga 0.6261 0.8739 0.0000  1 Ga 2.48, 8 Nb 2.63-2.76
10 Ga 0.8739 0.3739 0.0000  1 Ga 2.48, 8 Nb 2.63-2.76

***

Record 11
Cs6Au4F | PBE | optimized geometry

Results
- DFT total energy: -2.551 eV per atom

Cell: 9.3843 9.3843 10.7336 Å, 90.00 90.00 90.00°
Last column: nearest neighbours and their distance in Å.
Positions (direct):
1 Cs 0.0000 0.0000 0.2368  1 F 2.83
2 Cs 0.0000 0.0000 0.7632  1 F 2.83
3 Cs 0.1418 0.3062 0.5000  1 F 3.17
4 Cs 0.1938 0.3582 0.0000  1 F 3.17
5 Cs 0.3062 0.8582 0.5000  1 F 3.17
6 Cs 0.3582 0.8062 0.0000  1 F 3.17
7 Cs 0.5000 0.5000 0.2632  1 F 2.83
8 Cs 0.5000 0.5000 0.7368  1 F 2.83
9 Cs 0.6418 0.1938 0.0000  1 F 3.17
10 Cs 0.6938 0.1418 0.5000  1 F 3.17
11 Cs 0.8062 0.6418 0.0000  1 F 3.17
12 Cs 0.8582 0.6938 0.5000  1 F 3.17
13 Au 0.1117 0.6117 0.2500  1 Au 2.97
14 Au 0.1117 0.6117 0.7500  1 Au 2.97
15 Au 0.3883 0.1117 0.2500  1 Au 2.97
16 Au 0.3883 0.1117 0.7500  1 Au 2.97
17 Au 0.6117 0.8883 0.2500  1 Au 2.97
18 Au 0.6117 0.8883 0.7500  1 Au 2.97
19 Au 0.8883 0.3883 0.2500  1 Au 2.97
20 Au 0.8883 0.3883 0.7500  1 Au 2.97
21 F 0.0000 0.0000 0.5000  2 Cs 2.83
22 F 0.5000 0.5000 0.0000  2 Cs 2.83

***

Record 12
Sr4PmTe5 | PBE | optimized geometry

Results
- DFT total energy: -4.372 eV per atom

Cell: 16.9210 16.9210 16.9210 Å, 164.12 164.12 22.52°
Last column: nearest neighbours and their distance in Å.
Positions (direct):
1 Sr 0.0986 0.0986 0.0000  6 Te 3.27-3.35
2 Sr 0.3010 0.3010 0.0000  6 Te 3.30-3.39
3 Sr 0.6990 0.6990 0.0000  6 Te 3.30-3.39
4 Sr 0.9014 0.9014 0.0000  6 Te 3.27-3.35
5 Pm 0.5000 0.5000 0.0000  6 Te 3.21-3.30
6 Te 0.0000 0.0000 0.0000  2 Sr 3.27, 4 Pm 3.30
7 Te 0.1995 0.1995 0.0000  6 Sr 3.30-3.37
8 Te 0.4032 0.4032 0.0000  1 Pm 3.21, 5 Sr 3.31-3.39
9 Te 0.5968 0.5968 0.0000  1 Pm 3.21, 5 Sr 3.31-3.39
10 Te 0.8005 0.8005 0.0000  6 Sr 3.30-3.37

***

Record 13
Tb2Sc2Pb2C | PBE | optimized geometry

Results
- DFT total energy: -6.194 eV per atom
- Energy relative to the elements: -0.685 eV/atom

Cell: 4.5793 4.5793 15.9819 Å, 90.00 90.00 90.00°
Last column: nearest neighbours and their distance in Å.
Positions (direct):
1 Tb 0.0000 0.0000 0.1567  1 C 2.50
2 Tb 0.0000 0.0000 0.8433  1 C 2.50
3 Tb 0.5000 0.5000 0.3433  1 C 2.50
4 Tb 0.5000 0.5000 0.6567  1 C 2.50
5 Sc 0.0000 0.5000 0.0000  2 C 2.29
6 Sc 0.0000 0.5000 0.5000  2 C 2.29
7 Sc 0.5000 0.0000 0.0000  2 C 2.29
8 Sc 0.5000 0.0000 0.5000  2 C 2.29
9 Pb 0.0000 0.0000 0.3627  4 Sc 3.17, 5 Tb 3.25-3.29
10 Pb 0.0000 0.0000 0.6373  4 Sc 3.17, 5 Tb 3.25-3.29
11 Pb 0.5000 0.5000 0.1373  4 Sc 3.17, 5 Tb 3.25-3.29
12 Pb 0.5000 0.5000 0.8627  4 Sc 3.17, 5 Tb 3.25-3.29
13 C 0.0000 0.0000 0.0000  4 Sc 2.29, 2 Tb 2.50
14 C 0.5000 0.5000 0.5000  4 Sc 2.29, 2 Tb 2.50